--- A ---
{
  "formula": "Rb2HgRhN",
  "functional": "PBE",
  "state": "relaxed",
  "spacegroup": "P4/mmm, No. 123",
  "m_tot_mub_per_fu": 1.4,
  "cell": [[6.324, 0.000, 0.000], [0.000, 3.958, 0.000], [0.000, 0.000, 6.324]],
  "species": ["Rh", "Hg", "Rb", "Rb", "N"],
  "frac_coords": [[0.500, 0.500, 0.500], [0.000, 0.500, 0.000], [0.000, 0.000, 0.500], [0.500, 0.000, 0.000], [0.000, 0.000, 0.000]]
}

---

--- B ---
{
  "formula": "Rb2HgRhN",
  "functional": "PBE",
  "state": "relaxed",
  "spacegroup": "P4/mmm, No. 123",
  "m_tot_mub_per_fu": 0.0,
  "cell": [[6.299, 0.000, 0.000], [0.000, 6.299, 0.000], [0.000, 0.000, 3.748]],
  "species": ["Rh", "Hg", "Rb", "Rb", "N"],
  "frac_coords": [[0.000, 0.000, 0.500], [0.500, 0.500, 0.500], [0.000, 0.500, 0.000], [0.500, 0.000, 0.000], [0.000, 0.000, 0.000]]
}

---

Which of them is most stable? Easy: B.

---

--- A ---
{
  "formula": "RbHgS2N",
  "functional": "PBE",
  "state": "relaxed",
  "spacegroup": "P4/mmm, No. 123",
  "m_tot_mub_per_fu": 2.6,
  "cell": [[5.239, 0.000, 0.000], [0.000, 5.239, 0.000], [0.000, 0.000, 4.558]],
  "species": ["S", "S", "Hg", "Rb", "N"],
  "frac_coords": [[0.000, 0.500, 0.000], [0.500, 0.000, 0.000], [0.000, 0.000, 0.000], [0.500, 0.500, 0.500], [0.000, 0.000, 0.500]]
}

---

--- B ---
{
  "formula": "RbHgS2N",
  "functional": "PBE",
  "state": "relaxed",
  "spacegroup": "P4/mmm, No. 123",
  "m_tot_mub_per_fu": 6.0,
  "cell": [[-5.485, -0.771, -3.622], [2.997, -4.727, -3.532], [-1.999, -4.197, 3.921]],
  "species": ["S", "S", "Hg", "Rb", "N"],
  "frac_coords": [[0.000, 0.500, 0.000], [0.500, 0.000, 0.000], [0.500, 0.500, 0.500], [0.000, 0.000, 0.000], [0.000, 0.000, 0.500]]
}

---

Which of them is most stable? Easy: A.

---

--- A ---
{
  "formula": "RbHgTeN2",
  "functional": "PBE",
  "state": "relaxed",
  "spacegroup": "P4/mmm, No. 123",
  "m_tot_mub_per_fu": 4.7,
  "cell": [[4.964, 0.000, 0.000], [0.000, 4.964, 0.000], [0.000, 0.000, 5.794]],
  "species": ["Te", "Hg", "Rb", "N", "N"],
  "frac_coords": [[0.000, 0.000, 0.500], [0.000, 0.000, 0.000], [0.500, 0.500, 0.500], [0.000, 0.500, 0.000], [0.500, 0.000, 0.000]]
}

---

--- B ---
{
  "formula": "RbHgTeN2",
  "functional": "PBE",
  "state": "relaxed",
  "spacegroup": "P4/mmm, No. 123",
  "m_tot_mub_per_fu": 5.6,
  "cell": [[5.249, 0.000, 0.000], [0.000, 5.249, 0.000], [0.000, 0.000, 7.393]],
  "species": ["Te", "Hg", "Rb", "N", "N"],
  "frac_coords": [[0.000, 0.000, 0.500], [0.500, 0.500, 0.500], [0.000, 0.000, 0.000], [0.000, 0.500, 0.000], [0.500, 0.000, 0.000]]
}

---

Which of them is most stable? Easy: A.

---

--- A ---
{
  "formula": "RbHgTe2N",
  "functional": "PBE",
  "state": "relaxed",
  "spacegroup": "P4/mmm, No. 123",
  "m_tot_mub_per_fu": 1.7,
  "cell": [[6.432, 0.000, 0.000], [0.000, 6.432, 0.000], [0.000, 0.000, 3.983]],
  "species": ["Te", "Te", "Hg", "Rb", "N"],
  "frac_coords": [[0.000, 0.500, 0.000], [0.500, 0.000, 0.000], [0.000, 0.000, 0.000], [0.500, 0.500, 0.500], [0.000, 0.000, 0.500]]
}

---

--- B ---
{
  "formula": "RbHgTe2N",
  "functional": "PBE",
  "state": "relaxed",
  "spacegroup": "P4/mmm, No. 123",
  "m_tot_mub_per_fu": 6.0,
  "cell": [[7.163, 0.000, 0.000], [0.000, 7.163, 0.000], [0.000, 0.000, 5.740]],
  "species": ["Te", "Te", "Hg", "Rb", "N"],
  "frac_coords": [[0.000, 0.500, 0.000], [0.500, 0.000, 0.000], [0.500, 0.500, 0.500], [0.000, 0.000, 0.000], [0.000, 0.000, 0.500]]
}

---

Which of them is most stable? Easy: A.

---

--- A ---
{
  "formula": "Re3HgN",
  "functional": "PBE",
  "state": "relaxed",
  "spacegroup": "Pm-3m, No. 221",
  "m_tot_mub_per_fu": 0.0,
  "cell": [[-2.247, -3.092, -3.062], [4.245, -0.802, -2.306], [0.954, -3.713, 3.048]],
  "species": ["Re", "Re", "Re", "Hg", "N"],
  "frac_coords": [[0.000, 0.500, 0.000], [0.000, 0.000, 0.500], [0.500, 0.000, 0.000], [0.000, 0.000, 0.000], [0.500, 0.500, 0.500]]
}

---

--- B ---
{
  "formula": "Re3HgN",
  "functional": "PBE",
  "state": "relaxed",
  "spacegroup": "Pm-3m, No. 221",
  "m_tot_mub_per_fu": 0.2,
  "cell": [[-1.156, 2.383, 3.187], [1.995, -2.524, 2.611], [3.443, 2.263, -0.443]],
  "species": ["Re", "Re", "Re", "Hg", "N"],
  "frac_coords": [[0.000, 0.500, 0.000], [0.000, 0.000, 0.500], [0.500, 0.000, 0.000], [0.500, 0.500, 0.500], [0.000, 0.000, 0.000]]
}

---

Which of them is most stable? Easy: B.

---

--- A ---
{
  "formula": "ReHgSeN2",
  "functional": "PBE",
  "state": "relaxed",
  "spacegroup": "P4/mmm, No. 123",
  "m_tot_mub_per_fu": 1.3,
  "cell": [[4.119, 0.000, 0.000], [0.000, 4.119, 0.000], [0.000, 0.000, 6.143]],
  "species": ["Re", "Hg", "Se", "N", "N"],
  "frac_coords": [[0.500, 0.500, 0.500], [0.000, 0.000, 0.000], [0.000, 0.000, 0.500], [0.000, 0.500, 0.000], [0.500, 0.000, 0.000]]
}

---

--- B ---
{
  "formula": "ReHgSeN2",
  "functional": "PBE",
  "state": "relaxed",
  "spacegroup": "P4/mmm, No. 123",
  "m_tot_mub_per_fu": 0.0,
  "cell": [[-2.065, 0.255, 3.278], [-3.266, -0.602, -2.011], [0.539, -5.480, 0.766]],
  "species": ["Re", "Hg", "Se", "N", "N"],
  "frac_coords": [[0.000, 0.000, 0.000], [0.500, 0.500, 0.500], [0.000, 0.000, 0.500], [0.000, 0.500, 0.000], [0.500, 0.000, 0.000]]
}

---

Which of them is most stable? Easy: B.